Record 1
# NaAcCe2Tl4 (PBE, optimized geometry)
data_NaAcCe2Tl4
_chemical_formula_sum 'Na3 Ac3 Ce6 Tl12'
_space_group_name_H-M_alt 'R -3 m'
_space_group_IT_number 166
_space_group_name_Hall '-R 3 2"'
_cell_length_a 5.5052
_cell_length_b 5.5052
_cell_length_c 28.2401
_cell_angle_alpha 90.00
_cell_angle_beta 90.00
_cell_angle_gamma 120.00
loop_
_atom_site_label
_atom_site_type_symbol
_atom_site_fract_x
_atom_site_fract_y
_atom_site_fract_z
Na1 Na 0.0000 0.0000 0.0000
Ac1 Ac 0.0000 0.0000 0.5000
Ce1 Ce 0.0000 0.0000 0.2571
Tl1 Tl 0.0000 0.0000 0.1193
Tl2 Tl 0.0000 0.0000 0.3729
# Calculated formation energy (eV per atom): -0.213
# Density (g cm⁻³): 9.058



Record 2
# PrDyZnGe (PBE, optimized geometry)
data_PrDyZnGe
_chemical_formula_sum 'Pr2 Dy2 Zn2 Ge2'
_space_group_name_H-M_alt 'A m m 2'
_space_group_IT_number 38
_cell_length_a 4.1417
_cell_length_b 4.2663
_cell_length_c 11.2604
_cell_angle_alpha 90.00
_cell_angle_beta 90.00
_cell_angle_gamma 90.00
loop_
_space_group_symop_operation_xyz
'x,y,z'
'-x,-y,z'
'-x,y,z'
'x,-y,z'
'x,y+1/2,z+1/2'
'-x,-y+1/2,z+1/2'
'-x,y+1/2,z+1/2'
'x,-y+1/2,z+1/2'
loop_
_atom_site_label
_atom_site_type_symbol
_atom_site_fract_x
_atom_site_fract_y
_atom_site_fract_z
Pr1 Pr 0.0000 0.0000 0.0000
Dy1 Dy 0.5000 0.0000 0.2832
Zn1 Zn 0.5000 0.0000 0.5769
Ge1 Ge 0.0000 0.0000 0.7221
# Polymorph energy (0 for the lowest one) (meV/atom): 0
# Calculated formation energy (eV per atom): -0.587
# Density (g cm⁻³): 7.369



Record 3
# SrBeSn (PBE, optimized geometry)
data_SrBeSn
_chemical_formula_sum 'Sr1 Be1 Sn1'
_space_group_name_H-M_alt 'P -6 m 2'
_space_group_IT_number 187
_space_group_name_Hall 'P -6 2'
_cell_length_a 4.3210
_cell_length_b 4.3210
_cell_length_c 4.8209
_cell_angle_alpha 90.00
_cell_angle_beta 90.00
_cell_angle_gamma 120.00
loop_
_atom_site_label
_atom_site_type_symbol
_atom_site_fract_x
_atom_site_fract_y
_atom_site_fract_z
Sr1 Sr 0.0000 0.0000 0.0000
Be1 Be 0.3333 0.6667 0.5000
Sn1 Sn 0.6667 0.3333 0.5000
# Calculated formation energy (eV per atom): -0.291
# Density (g cm⁻³): 4.587



Record 4
# ZrTi2H8 (PBE, optimized geometry)
data_ZrTi2H8
_chemical_formula_sum 'Zr2 Ti4 H16'
_space_group_name_H-M_alt 'C 1 2/m 1'
_space_group_IT_number 12
_cell_length_a 10.1119
_cell_length_b 4.5795
_cell_length_c 3.2456
_cell_angle_alpha 90.00
_cell_angle_beta 106.70
_cell_angle_gamma 90.00
loop_
_space_group_symop_operation_xyz
'x,y,z'
'-x,-y,-z'
'-x,y,-z'
'x,-y,z'
'x+1/2,y+1/2,z'
'-x+1/2,-y+1/2,-z'
'-x+1/2,y+1/2,-z'
'x+1/2,-y+1/2,z'
loop_
_atom_site_label
_atom_site_type_symbol
_atom_site_fract_x
_atom_site_fract_y
_atom_site_fract_z
Zr1 Zr 0.0000 0.0000 0.0000
Ti1 Ti 0.1730 0.5000 0.6570
H1 H 0.0000 0.2898 0.5000
H2 H 0.1613 0.0000 0.6215
H3 H 0.1658 0.2738 0.1464
# Energy (eV/cell): -109.40
# Density (g cm⁻³): 4.499



Record 5
# Gd2AlTl (PBE, optimized geometry)
data_Gd2AlTl
_chemical_formula_sum 'Gd6 Al3 Tl3'
_space_group_name_H-M_alt 'R -3 m'
_space_group_IT_number 166
_space_group_name_Hall '-R 3 2"'
_cell_length_a 3.6790
_cell_length_b 3.6790
_cell_length_c 28.8025
_cell_angle_alpha 90.00
_cell_angle_beta 90.00
_cell_angle_gamma 120.00
loop_
_atom_site_label
_atom_site_type_symbol
_atom_site_fract_x
_atom_site_fract_y
_atom_site_fract_z
Gd1 Gd 0.0000 0.0000 0.2442
Al1 Al 0.0000 0.0000 0.5000
Tl1 Tl 0.0000 0.0000 0.0000
# Polymorph energy (0 for the lowest one) (meV/atom): 168
# Calculated formation energy (eV per atom): -0.209
# Density (g cm⁻³): 8.055



Record 6
# LaTbP (PBE, optimized geometry)
data_LaTbP
_chemical_formula_sum 'La1 Tb1 P1'
_space_group_name_H-M_alt 'P 3 m 1'
_space_group_IT_number 156
_cell_length_a 3.9997
_cell_length_b 3.9997
_cell_length_c 6.7756
_cell_angle_alpha 90.00
_cell_angle_beta 90.00
_cell_angle_gamma 120.00
loop_
_space_group_symop_operation_xyz
'x,y,z'
'-y,x-y,z'
'-x+y,-x,z'
'-y,-x,z'
'-x+y,y,z'
'x,x-y,z'
loop_
_atom_site_label
_atom_site_type_symbol
_atom_site_fract_x
_atom_site_fract_y
_atom_site_fract_z
La1 La 0.0000 0.0000 0.0000
Tb1 Tb 0.3333 0.6667 0.5182
P1 P 0.6667 0.3333 0.7431
# Polymorph energy (0 for the lowest one) (meV/atom): 0
# Calculated formation energy (eV per atom): -0.946
# Density (g cm⁻³): 5.816



Which value of density does entry 6 give?
5.816 g cm⁻³



Which of these has the lowest density?
ZrTi2H8